A plane-wave DFT calculation with GGA+U was carried out for an optimized crystal structure of GaFeO3.

Lattice parameters (Å, degrees): 5.1369 8.8083 9.4112 90.47 89.31 89.33
Last column: nearest neighbours and their distance in Å.
Sites, in units of the cell vectors:
O  0.9844  0.6728  0.9411  2 Ga 1.84-1.86, 1 Fe 2.01
O  0.8364  0.8457  0.1998  3 Ga 1.92-2.09, 1 Fe 2.02
O  0.6561  0.6691  0.6707  3 Fe 1.89-1.94
O  0.0145  0.6761  0.4253  2 Ga 2.03-2.09, 3 Fe 2.15-2.21
O  0.3447  0.0056  0.2109  1 Ga 1.91, 2 Fe 1.93-1.97
O  0.3391  0.3375  0.1762  3 Fe 1.94-1.97
O  0.0074  0.3263  0.4406  2 Ga 1.82-1.84, 1 Fe 2.02
O  0.4760  0.5075  0.4314  2 Ga 1.87-2.08, 2 Fe 2.00-2.02
O  0.4850  0.1846  0.9291  1 Ga 2.01, 2 Fe 2.05-2.11
O  0.8522  0.5024  0.2017  1 Ga 1.89, 2 Fe 1.91-1.97
O  0.5195  0.4928  0.9316  2 Ga 1.84-2.05
O  0.1515  0.8216  0.6694  1 Ga 1.90, 2 Fe 1.90-1.94
O  0.6608  0.9889  0.7009  1 Ga 1.92, 2 Fe 1.95-1.96
O  0.8433  0.1713  0.1684  3 Fe 1.92-1.98
O  0.4823  0.8376  0.9392  3 Ga 1.84-1.97
O  0.5112  0.1618  0.4389  2 Ga 1.84-1.87, 1 Fe 1.93
O  0.5087  0.8080  0.4369  2 Ga 1.99-2.11, 2 Fe 2.08-2.09
O  0.3468  0.6697  0.1966  3 Ga 1.89-2.00
O  0.9854  0.3301  0.9197  1 Ga 2.02, 3 Fe 2.07-2.25
O  0.0300  0.0114  0.9310  2 Ga 1.86-2.05, 1 Fe 2.07
O  0.1678  0.1541  0.6969  2 Ga 1.88-2.07, 1 Fe 2.07
O  0.9723  0.9833  0.4361  2 Ga 1.88-2.03, 2 Fe 2.03-2.04
O  0.1676  0.5046  0.6961  1 Ga 1.92, 2 Fe 1.94-1.95
O  0.6572  0.3381  0.6951  2 Ga 1.86-2.01, 1 Fe 2.07
Fe  0.8367  0.5298  0.7957  5 O 1.94-2.15
Fe  0.1912  0.1601  0.0861  5 O 1.94-2.13
Fe  0.6844  0.3468  0.0840  4 O 1.92-2.11
Fe  0.3265  0.6575  0.5751  5 O 1.90-2.09
Fe  0.8170  0.8329  0.5766  5 O 1.89-2.08
Fe  0.6766  0.0279  0.3013  5 O 1.93-2.03
Fe  0.1646  0.4796  0.3079  4 O 1.91-2.02
Fe  0.8147  0.1574  0.8055  6 O 1.95-2.07
Ga  0.1816  0.8410  0.3061  6 O 1.91-2.11
Ga  0.6677  0.3417  0.4971  4 O 1.82-1.87
Ga  0.3199  0.3437  0.8055  6 O 1.92-2.11
Ga  0.3256  0.9611  0.7889  5 O 1.90-2.07
Ga  0.1685  0.1493  0.4977  4 O 1.84-1.88
Ga  0.8224  0.8538  0.9965  4 O 1.84-1.92
Ga  0.3251  0.6571  0.9967  4 O 1.84-1.89
Ga  0.6775  0.6592  0.3042  6 O 1.89-2.09

## Properties
Uncorrected energy, eV per formula unit: -31.09